No. 1
Below is a geometry-optimized Na2HfCdS4 structure, with properties calculated at the PBE level.

Raw total energy   -4.9029 eV per atom

```
data_Na2HfCdS4
_space_group_name_H-M_alt 'P 1'
_space_group_IT_number 1
_cell_length_a 6.830
_cell_length_b 6.830
_cell_length_c 6.528
_cell_angle_alpha 118.53
_cell_angle_beta 118.53
_cell_angle_gamma 94.99
loop_
_space_group_symop_operation_xyz
'x,y,z'
loop_
_atom_site_label
_atom_site_fract_x
_atom_site_fract_y
_atom_site_fract_z
_atom_site_occupancy
Na1 0.985 0.015 0.500 1
S1 0.823 0.597 0.444 1
S2 0.403 0.177 0.556 1
Cd1 0.486 0.514 0.500 1
Hf1 0.736 0.264 0.000 1
S3 0.624 0.906 0.974 1
S4 0.094 0.376 0.026 1
Na2 0.236 0.764 0.000 1
```

No. 2
Below is a geometry-optimized Hf2NbCd structure, with properties calculated at the PBE level.

Raw total energy   -7.4896 eV per atom

```
data_Hf2NbCd
_space_group_name_H-M_alt 'P 1'
_space_group_IT_number 1
_cell_length_a 4.851
_cell_length_b 4.851
_cell_length_c 4.851
_cell_angle_alpha 60.00
_cell_angle_beta 60.00
_cell_angle_gamma 60.00
loop_
_space_group_symop_operation_xyz
'x,y,z'
loop_
_atom_site_label
_atom_site_fract_x
_atom_site_fract_y
_atom_site_fract_z
_atom_site_occupancy
Hf1 0.250 0.250 0.250 1
Hf2 0.500 0.500 0.500 1
Cd1 0.750 0.750 0.750 1
Nb1 0.000 0.000 0.000 1
```

No. 3
Below is a geometry-optimized HfNbCd2 structure, with properties calculated at the PBE level.

Raw total energy   -5.0584 eV per atom

```
data_HfNbCd2
_space_group_name_H-M_alt 'P 1'
_space_group_IT_number 1
_cell_length_a 4.885
_cell_length_b 4.885
_cell_length_c 4.885
_cell_angle_alpha 60.00
_cell_angle_beta 60.00
_cell_angle_gamma 60.00
loop_
_space_group_symop_operation_xyz
'x,y,z'
loop_
_atom_site_label
_atom_site_fract_x
_atom_site_fract_y
_atom_site_fract_z
_atom_site_occupancy
Hf1 0.250 0.250 0.250 1
Cd1 0.000 0.000 0.000 1
Nb1 0.500 0.500 0.500 1
Cd2 0.750 0.750 0.750 1
```

No. 4
Below is a geometry-optimized Hf2CdNi structure, with properties calculated at the PBE level.

Raw total energy   -6.3657 eV per atom

```
data_Hf2CdNi
_space_group_name_H-M_alt 'P 1'
_space_group_IT_number 1
_cell_length_a 4.727
_cell_length_b 4.727
_cell_length_c 4.727
_cell_angle_alpha 60.00
_cell_angle_beta 60.00
_cell_angle_gamma 60.00
loop_
_space_group_symop_operation_xyz
'x,y,z'
loop_
_atom_site_label
_atom_site_fract_x
_atom_site_fract_y
_atom_site_fract_z
_atom_site_occupancy
Hf1 0.250 0.250 0.250 1
Hf2 0.000 0.000 0.000 1
Ni1 0.750 0.750 0.750 1
Cd1 0.500 0.500 0.500 1
```

No. 5
Below is a geometry-optimized HfCdNiPb structure, with properties calculated at the PBE level.

Raw total energy   -4.7799 eV per atom

```
data_HfCdNiPb
_space_group_name_H-M_alt 'P 1'
_space_group_IT_number 1
_cell_length_a 4.805
_cell_length_b 4.805
_cell_length_c 4.805
_cell_angle_alpha 60.00
_cell_angle_beta 60.00
_cell_angle_gamma 60.00
loop_
_space_group_symop_operation_xyz
'x,y,z'
loop_
_atom_site_label
_atom_site_fract_x
_atom_site_fract_y
_atom_site_fract_z
_atom_site_occupancy
Pb1 0.000 0.000 0.000 1
Hf1 0.250 0.250 0.250 1
Cd1 0.500 0.500 0.500 1
Ni1 0.750 0.750 0.750 1
```

No. 6
Below is a geometry-optimized HfCdNiSb structure, with properties calculated at the PBE level.

Raw total energy   -5.0213 eV per atom

```
data_HfCdNiSb
_space_group_name_H-M_alt 'P 1'
_space_group_IT_number 1
_cell_length_a 4.764
_cell_length_b 4.764
_cell_length_c 4.764
_cell_angle_alpha 60.00
_cell_angle_beta 60.00
_cell_angle_gamma 60.00
loop_
_space_group_symop_operation_xyz
'x,y,z'
loop_
_atom_site_label
_atom_site_fract_x
_atom_site_fract_y
_atom_site_fract_z
_atom_site_occupancy
Cd1 0.500 0.500 0.500 1
Sb1 0.000 0.000 0.000 1
Hf1 0.250 0.250 0.250 1
Ni1 0.750 0.750 0.750 1
```

No. 7
Below is a geometry-optimized HfNpCd structure, with properties calculated at the PBE level.

Raw total energy   -6.9254 eV per atom

```
data_HfNpCd
_space_group_name_H-M_alt 'P 1'
_space_group_IT_number 1
_cell_length_a 4.838
_cell_length_b 4.838
_cell_length_c 4.838
_cell_angle_alpha 60.00
_cell_angle_beta 60.00
_cell_angle_gamma 60.00
loop_
_space_group_symop_operation_xyz
'x,y,z'
loop_
_atom_site_label
_atom_site_fract_x
_atom_site_fract_y
_atom_site_fract_z
_atom_site_occupancy
Cd1 0.250 0.250 0.250 1
Hf1 0.000 0.000 0.000 1
Np1 0.750 0.750 0.750 1
```

No. 8
Below is a geometry-optimized Hf31CdO64 structure, with properties calculated at the PBE level.

Raw total energy   -9.9624 eV per atom
Offset from the most stable computed form   0.0 meV per atom

```
data_Hf31CdO64
_space_group_name_H-M_alt 'P 1'
_space_group_IT_number 1
_cell_length_a 10.205
_cell_length_b 10.357
_cell_length_c 10.516
_cell_angle_alpha 89.99
_cell_angle_beta 80.56
_cell_angle_gamma 90.00
loop_
_space_group_symop_operation_xyz
'x,y,z'
loop_
_atom_site_label
_atom_site_fract_x
_atom_site_fract_y
_atom_site_fract_z
_atom_site_occupancy
O1 0.589 0.794 0.170 1
Hf1 0.486 0.355 0.354 1
Hf2 0.264 0.605 0.396 1
Hf3 0.484 0.358 0.854 1
O2 0.402 0.000 0.989 1
O3 0.161 0.957 0.332 1
Hf4 0.986 0.146 0.104 1
O4 0.661 0.043 0.580 1
O5 0.401 0.497 0.489 1
O6 0.847 0.254 0.010 1
O7 0.848 0.246 0.759 1
Hf5 0.265 0.397 0.647 1
O8 0.156 0.545 0.099 1
O9 0.590 0.706 0.420 1
O10 0.163 0.441 0.832 1
Hf6 0.264 0.898 0.146 1
O11 0.411 0.497 0.731 1
O12 0.589 0.208 0.920 1
O13 0.162 0.952 0.832 1
O14 0.161 0.545 0.581 1
O15 0.348 0.246 0.259 1
O16 0.346 0.253 0.008 1
O17 0.663 0.544 0.580 1
Hf7 0.762 0.897 0.147 1
O18 0.089 0.293 0.169 1
Hf8 0.764 0.104 0.396 1
O19 0.089 0.706 0.419 1
O20 0.593 0.792 0.669 1
O21 0.660 0.957 0.330 1
Hf9 0.985 0.354 0.854 1
O22 0.348 0.754 0.508 1
Hf10 0.487 0.146 0.604 1
O23 0.161 0.045 0.080 1
O24 0.402 0.005 0.240 1
Hf11 0.764 0.604 0.896 1
Cd1 0.259 0.612 0.898 1
Hf12 0.763 0.604 0.397 1
O25 0.848 0.747 0.759 1
O26 0.590 0.206 0.420 1
O27 0.349 0.244 0.759 1
Hf13 0.764 0.896 0.645 1
Hf14 0.987 0.646 0.604 1
O28 0.162 0.045 0.581 1
O29 0.067 0.702 0.922 1
Hf15 0.987 0.855 0.354 1
Hf16 0.762 0.106 0.896 1
O30 0.902 0.005 0.740 1
O31 0.848 0.246 0.260 1
O32 0.848 0.746 0.261 1
Hf17 0.987 0.146 0.604 1
O33 0.089 0.796 0.169 1
Hf18 0.487 0.854 0.854 1
Hf19 0.264 0.104 0.895 1
O34 0.588 0.295 0.170 1
Hf20 0.985 0.354 0.354 1
O35 0.901 0.004 0.240 1
Hf21 0.486 0.853 0.354 1
O36 0.348 0.746 0.260 1
O37 0.902 0.996 0.490 1
Hf22 0.983 0.646 0.108 1
O38 0.409 0.491 0.998 1
O39 0.901 0.495 0.992 1
O40 0.660 0.045 0.080 1
O41 0.849 0.254 0.509 1
O42 0.844 0.755 0.012 1
O43 0.660 0.456 0.331 1
O44 0.662 0.456 0.831 1
O45 0.089 0.295 0.668 1
O46 0.402 0.996 0.490 1
O47 0.090 0.207 0.419 1
O48 0.086 0.202 0.917 1
O49 0.591 0.706 0.919 1
O50 0.401 0.505 0.243 1
O51 0.903 0.496 0.491 1
O52 0.592 0.292 0.670 1
Hf23 0.485 0.645 0.103 1
O53 0.661 0.957 0.830 1
O54 0.899 0.503 0.242 1
O55 0.900 0.996 0.990 1
Hf24 0.264 0.104 0.397 1
O56 0.356 0.763 0.013 1
O57 0.662 0.545 0.081 1
O58 0.356 0.752 0.752 1
O59 0.160 0.455 0.331 1
Hf25 0.985 0.858 0.852 1
Hf26 0.486 0.644 0.605 1
Hf27 0.265 0.895 0.646 1
O60 0.349 0.254 0.509 1
O61 0.089 0.795 0.669 1
O62 0.849 0.754 0.509 1
Hf28 0.267 0.395 0.145 1
O63 0.402 0.005 0.740 1
O64 0.903 0.504 0.741 1
Hf29 0.485 0.147 0.103 1
Hf30 0.764 0.396 0.647 1
Hf31 0.762 0.396 0.146 1
```

No. 9
Below is a geometry-optimized Hf31CdO64 structure, with properties calculated at the PBE level.

Raw total energy   -9.9418 eV per atom
Offset from the most stable computed form   20.6 meV per atom

```
data_Hf31CdO64
_space_group_name_H-M_alt 'P 1'
_space_group_IT_number 1
_cell_length_a 9.991
_cell_length_b 10.104
_cell_length_c 10.438
_cell_angle_alpha 89.93
_cell_angle_beta 89.95
_cell_angle_gamma 89.95
loop_
_space_group_symop_operation_xyz
'x,y,z'
loop_
_atom_site_label
_atom_site_fract_x
_atom_site_fract_y
_atom_site_fract_z
_atom_site_occupancy
O1 0.149 0.001 0.757 1
O2 0.602 0.751 0.994 1
O3 0.643 0.995 0.749 1
Hf1 0.510 0.622 0.358 1
O4 0.648 0.247 0.255 1
O5 0.916 0.313 0.312 1
Hf2 0.242 0.622 0.608 1
O6 0.415 0.437 0.313 1
O7 0.836 0.311 0.062 1
O8 0.649 0.748 0.755 1
Hf3 0.010 0.627 0.858 1
Hf4 0.741 0.627 0.107 1
O9 0.101 0.998 0.996 1
Hf5 0.242 0.373 0.394 1
O10 0.640 0.254 0.765 1
O11 0.101 0.249 0.508 1
O12 0.413 0.187 0.688 1
Hf6 0.740 0.877 0.891 1
O13 0.835 0.063 0.939 1
O14 0.102 0.498 0.995 1
Hf7 0.240 0.122 0.608 1
O15 0.335 0.937 0.062 1
O16 0.149 0.751 0.244 1
O17 0.336 0.686 0.438 1
Hf8 0.740 0.377 0.391 1
O18 0.333 0.186 0.438 1
O19 0.414 0.187 0.188 1
O20 0.415 0.686 0.188 1
Hf9 0.010 0.129 0.860 1
O21 0.414 0.439 0.812 1
Hf10 0.510 0.122 0.358 1
O22 0.647 0.997 0.242 1
O23 0.149 0.502 0.756 1
Hf11 0.241 0.622 0.108 1
O24 0.149 0.251 0.746 1
O25 0.601 0.501 0.006 1
O26 0.648 0.498 0.244 1
O27 0.601 0.250 0.998 1
Hf12 0.510 0.623 0.856 1
O28 0.335 0.436 0.063 1
O29 0.412 0.937 0.811 1
O30 0.415 0.687 0.688 1
Hf13 0.011 0.627 0.357 1
O31 0.601 0.501 0.505 1
Hf14 0.509 0.373 0.143 1
O32 0.334 0.187 0.938 1
O33 0.148 0.001 0.255 1
O34 0.149 0.501 0.256 1
Hf15 0.510 0.872 0.142 1
Hf16 0.511 0.371 0.644 1
Hf17 0.240 0.872 0.894 1
O35 0.835 0.563 0.938 1
Hf18 0.010 0.377 0.143 1
Hf19 0.010 0.873 0.643 1
O36 0.102 0.249 0.007 1
Hf20 0.511 0.874 0.642 1
O37 0.913 0.312 0.811 1
O38 0.102 0.499 0.494 1
O39 0.102 0.998 0.494 1
O40 0.836 0.337 0.560 1
O41 0.835 0.813 0.063 1
O42 0.834 0.566 0.435 1
Hf21 0.739 0.875 0.393 1
O43 0.601 0.000 0.005 1
O44 0.149 0.251 0.244 1
O45 0.913 0.062 0.190 1
O46 0.335 0.687 0.938 1
Hf22 0.016 0.129 0.358 1
O47 0.102 0.748 0.007 1
O48 0.917 0.567 0.688 1
O49 0.915 0.812 0.813 1
O50 0.149 0.751 0.745 1
O51 0.596 0.255 0.491 1
Hf23 0.240 0.872 0.393 1
O52 0.915 0.810 0.311 1
O53 0.334 0.936 0.563 1
O54 0.335 0.436 0.563 1
Hf24 0.010 0.875 0.143 1
O55 0.915 0.563 0.187 1
O56 0.103 0.747 0.505 1
Hf25 0.241 0.373 0.893 1
O57 0.602 0.749 0.495 1
O58 0.837 0.060 0.422 1
Hf26 0.509 0.123 0.857 1
Hf27 0.739 0.377 0.895 1
Cd1 0.749 0.135 0.610 1
Hf28 0.741 0.625 0.607 1
O59 0.931 0.060 0.688 1
O60 0.649 0.499 0.745 1
O61 0.836 0.813 0.561 1
Hf29 0.012 0.379 0.645 1
Hf30 0.737 0.126 0.107 1
O62 0.648 0.748 0.256 1
O63 0.413 0.936 0.310 1
O64 0.594 0.995 0.497 1
Hf31 0.241 0.123 0.107 1
```

No. 10
Below is a geometry-optimized Hf31CdO64 structure, with properties calculated at the PBE level.

Raw total energy   -9.9382 eV per atom
Offset from the most stable computed form   24.2 meV per atom

```
data_Hf31CdO64
_space_group_name_H-M_alt 'P 1'
_space_group_IT_number 1
_cell_length_a 10.044
_cell_length_b 10.099
_cell_length_c 10.454
_cell_angle_alpha 89.98
_cell_angle_beta 89.98
_cell_angle_gamma 89.95
loop_
_space_group_symop_operation_xyz
'x,y,z'
loop_
_atom_site_label
_atom_site_fract_x
_atom_site_fract_y
_atom_site_fract_z
_atom_site_occupancy
O1 0.398 0.499 0.256 1
Hf1 0.491 0.625 0.890 1
Hf2 0.991 0.376 0.608 1
O2 0.590 0.445 0.942 1
Hf3 0.258 0.126 0.641 1
O3 0.660 0.196 0.809 1
O4 0.160 0.196 0.808 1
O5 0.160 0.946 0.691 1
Hf4 0.760 0.626 0.641 1
O6 0.161 0.697 0.807 1
O7 0.905 0.757 0.252 1
O8 0.089 0.196 0.058 1
Hf5 0.487 0.625 0.391 1
O9 0.089 0.444 0.441 1
Hf6 0.760 0.377 0.858 1
O10 0.161 0.195 0.309 1
O11 0.590 0.947 0.443 1
O12 0.159 0.944 0.191 1
O13 0.855 0.501 0.508 1
O14 0.662 0.415 0.193 1
O15 0.901 0.496 0.261 1
Hf7 0.988 0.874 0.109 1
O16 0.587 0.190 0.058 1
Hf8 0.759 0.128 0.141 1
O17 0.896 0.501 0.756 1
O18 0.355 0.250 0.492 1
Hf9 0.492 0.124 0.890 1
Hf10 0.259 0.375 0.857 1
O19 0.395 0.250 0.741 1
O20 0.662 0.192 0.312 1
O21 0.853 0.003 0.008 1
Hf11 0.760 0.375 0.361 1
O22 0.394 0.000 0.758 1
O23 0.590 0.447 0.442 1
Hf12 0.260 0.625 0.140 1
Hf13 0.760 0.876 0.859 1
Hf14 0.491 0.376 0.608 1
Hf15 0.992 0.126 0.391 1
Hf16 0.259 0.375 0.357 1
Cd1 0.751 0.618 0.142 1
O24 0.354 0.500 0.507 1
O25 0.092 0.695 0.058 1
O26 0.864 0.757 0.984 1
O27 0.660 0.446 0.692 1
O28 0.855 0.250 0.493 1
O29 0.590 0.196 0.558 1
Hf17 0.990 0.629 0.391 1
O30 0.394 0.750 0.242 1
Hf18 0.991 0.126 0.892 1
O31 0.395 0.500 0.756 1
O32 0.895 0.251 0.742 1
O33 0.660 0.947 0.192 1
O34 0.898 0.250 0.244 1
O35 0.164 0.691 0.310 1
O36 0.894 0.003 0.257 1
O37 0.091 0.948 0.942 1
Hf19 0.258 0.876 0.859 1
O38 0.355 0.000 0.008 1
O39 0.660 0.947 0.691 1
O40 0.855 0.001 0.508 1
Hf20 0.759 0.126 0.642 1
Hf21 0.991 0.876 0.609 1
O41 0.091 0.445 0.941 1
O42 0.590 0.945 0.941 1
O43 0.353 0.749 0.991 1
O44 0.090 0.697 0.558 1
O45 0.396 0.750 0.741 1
O46 0.163 0.444 0.190 1
O47 0.090 0.196 0.558 1
O48 0.860 0.498 0.001 1
O49 0.853 0.751 0.495 1
O50 0.354 0.249 0.991 1
O51 0.657 0.701 0.319 1
O52 0.661 0.696 0.808 1
Hf22 0.257 0.124 0.141 1
Hf23 0.489 0.124 0.392 1
O53 0.089 0.945 0.441 1
Hf24 0.259 0.627 0.641 1
Hf25 0.991 0.627 0.891 1
O54 0.354 0.751 0.493 1
O55 0.576 0.697 0.057 1
O56 0.160 0.446 0.691 1
O57 0.395 0.248 0.241 1
O58 0.354 0.499 0.005 1
O59 0.589 0.696 0.558 1
Hf26 0.488 0.372 0.106 1
Hf27 0.761 0.877 0.358 1
Hf28 0.492 0.877 0.109 1
O60 0.394 0.999 0.259 1
O61 0.354 0.001 0.508 1
Hf29 0.257 0.875 0.358 1
O62 0.895 0.750 0.740 1
Hf30 0.991 0.377 0.108 1
Hf31 0.491 0.877 0.609 1
O63 0.854 0.251 0.993 1
O64 0.895 0.001 0.758 1
```

No. 11
Below is a geometry-optimized HfCdPO structure, with properties calculated at the PBE level.

Raw total energy   -6.5833 eV per atom
Offset from the most stable computed form   0.0 meV per atom

```
data_HfCdPO
_space_group_name_H-M_alt 'P 1'
_space_group_IT_number 1
_cell_length_a 3.572
_cell_length_b 6.360
_cell_length_c 6.291
_cell_angle_alpha 90.00
_cell_angle_beta 90.00
_cell_angle_gamma 90.00
loop_
_space_group_symop_operation_xyz
'x,y,z'
loop_
_atom_site_label
_atom_site_fract_x
_atom_site_fract_y
_atom_site_fract_z
_atom_site_occupancy
O1 0.500 0.789 0.358 1
P1 0.000 0.195 0.324 1
O2 0.500 0.211 0.858 1
Hf1 0.500 0.030 0.588 1
P2 0.000 0.805 0.824 1
Cd1 0.000 0.436 0.984 1
Cd2 0.000 0.564 0.484 1
Hf2 0.500 0.970 0.088 1
```

No. 12
Below is a geometry-optimized HfCdPO structure, with properties calculated at the PBE level.

Raw total energy   -6.4908 eV per atom
Offset from the most stable computed form   92.5 meV per atom

```
data_HfCdPO
_space_group_name_H-M_alt 'P 1'
_space_group_IT_number 1
_cell_length_a 3.687
_cell_length_b 3.687
_cell_length_c 9.491
_cell_angle_alpha 90.00
_cell_angle_beta 90.00
_cell_angle_gamma 90.00
loop_
_space_group_symop_operation_xyz
'x,y,z'
loop_
_atom_site_label
_atom_site_fract_x
_atom_site_fract_y
_atom_site_fract_z
_atom_site_occupancy
P1 0.750 0.750 0.256 1
Cd1 0.250 0.750 0.500 1
Cd2 0.750 0.250 0.500 1
Hf1 0.250 0.250 0.126 1
O1 0.250 0.750 0.000 1
O2 0.750 0.250 0.000 1
Hf2 0.750 0.750 0.874 1
P2 0.250 0.250 0.744 1
```

No. 13
Below is a geometry-optimized HfCdPO structure, with properties calculated at the PBE level.

Raw total energy   -6.4780 eV per atom
Offset from the most stable computed form   105.3 meV per atom

```
data_HfCdPO
_space_group_name_H-M_alt 'P 1'
_space_group_IT_number 1
_cell_length_a 4.011
_cell_length_b 6.990
_cell_length_c 5.347
_cell_angle_alpha 90.00
_cell_angle_beta 90.00
_cell_angle_gamma 90.00
loop_
_space_group_symop_operation_xyz
'x,y,z'
loop_
_atom_site_label
_atom_site_fract_x
_atom_site_fract_y
_atom_site_fract_z
_atom_site_occupancy
Hf1 0.000 0.668 0.426 1
P1 0.000 0.302 0.421 1
O1 0.500 0.723 0.428 1
P2 0.000 0.698 0.921 1
Cd1 0.500 0.908 0.980 1
Cd2 0.500 0.092 0.480 1
Hf2 0.000 0.332 0.926 1
O2 0.500 0.277 0.928 1
```